Density functional theory data (GGA-PBE) for crystalline TaTlSe2 at its relaxed geometry.

a = 7.0268 Å, b = 12.4298 Å, c = 6.1257 Å
α = 90.00°, β = 117.63°, γ = 90.00°
Atoms (fractional coordinates):
Ta (0.0000, 0.0012, 0.2500)
Ta (0.0000, 0.9988, 0.7500)
Ta (0.5000, 0.4988, 0.7500)
Ta (0.5000, 0.5012, 0.2500)
Tl (0.0000, 0.3734, 0.7500)
Tl (0.0000, 0.6266, 0.2500)
Tl (0.5000, 0.1266, 0.2500)
Tl (0.5000, 0.8734, 0.7500)
Se (0.2084, 0.1208, 0.6128)
Se (0.2084, 0.8792, 0.1128)
Se (0.2916, 0.3792, 0.3872)
Se (0.2916, 0.6208, 0.8872)
Se (0.7084, 0.3792, 0.1128)
Se (0.7084, 0.6208, 0.6128)
Se (0.7916, 0.1208, 0.8872)
Se (0.7916, 0.8792, 0.3872)

---

Density functional theory data (GGA-PBE) for crystalline TaTlSe2 at its relaxed geometry.

a = 3.7279 Å, b = 3.7279 Å, c = 9.0930 Å
α = 90.00°, β = 90.00°, γ = 120.00°
Atoms (fractional coordinates):
Ta (0.0000, 0.0000, 0.0000)
Tl (0.6667, 0.3333, 0.4994)
Se (0.0000, 0.0000, 0.2632)
Se (0.3333, 0.6667, 0.8485)

---

Density functional theory data (GGA-PBE) for crystalline Ta2TlSe at its relaxed geometry.

Calculated values
Offset from the most stable computed form in eV/atom: 0.6064

a = 4.1342 Å, b = 4.1342 Å, c = 19.9161 Å
α = 90.00°, β = 90.00°, γ = 90.00°
Atoms (fractional coordinates):
Ta (0.2480, 0.2500, 0.1250)
Ta (0.2500, 0.7480, 0.3750)
Ta (0.2500, 0.7520, 0.8750)
Ta (0.2520, 0.2500, 0.6250)
Ta (0.7480, 0.7500, 0.6250)
Ta (0.7500, 0.2480, 0.8750)
Ta (0.7500, 0.2520, 0.3750)
Ta (0.7520, 0.7500, 0.1250)
Tl (0.0000, 0.0000, 0.0000)
Tl (0.0000, 0.5000, 0.2500)
Tl (0.5000, 0.0000, 0.7500)
Tl (0.5000, 0.5000, 0.5000)
Se (0.0000, 0.0000, 0.5000)
Se (0.0000, 0.5000, 0.7500)
Se (0.5000, 0.0000, 0.2500)
Se (0.5000, 0.5000, 0.0000)

---

Density functional theory data (GGA-PBE) for crystalline TaTlSe2 at its relaxed geometry.

a = 3.6689 Å, b = 3.5132 Å, c = 8.0630 Å
α = 90.00°, β = 90.10°, γ = 90.00°
Atoms (fractional coordinates):
Ta (0.0000, 0.0000, 0.0000)
Tl (0.5000, 0.0000, 0.5000)
Se (0.0013, 0.5000, 0.7712)
Se (0.9987, 0.5000, 0.2288)

---

Density functional theory data (GGA-PBE) for crystalline TaTlSe2 at its relaxed geometry.

a = 3.2560 Å, b = 3.2560 Å, c = 8.4101 Å
α = 90.00°, β = 90.00°, γ = 90.00°
Atoms (fractional coordinates):
Ta (0.0000, 0.0000, 0.0000)
Tl (0.0000, 0.0000, 0.5000)
Se (0.5000, 0.5000, 0.1813)
Se (0.5000, 0.5000, 0.8187)

---

Density functional theory data (GGA-PBE) for crystalline TaTlSe2 at its relaxed geometry.

a = 12.3461 Å, b = 5.8729 Å, c = 6.2634 Å
α = 90.00°, β = 90.00°, γ = 90.00°
Atoms (fractional coordinates):
Ta (0.0000, 0.0704, 0.0000)
Ta (0.0000, 0.9296, 0.5000)
Ta (0.5000, 0.4296, 0.5000)
Ta (0.5000, 0.5704, 0.0000)
Tl (0.0000, 0.4366, 0.3433)
Tl (0.0000, 0.5634, 0.8433)
Tl (0.5000, 0.0634, 0.8433)
Tl (0.5000, 0.9366, 0.3433)
Se (0.1469, 0.1352, 0.6917)
Se (0.1469, 0.8648, 0.1917)
Se (0.3531, 0.3648, 0.1917)
Se (0.3531, 0.6352, 0.6917)
Se (0.6469, 0.3648, 0.1917)
Se (0.6469, 0.6352, 0.6917)
Se (0.8531, 0.1352, 0.6917)
Se (0.8531, 0.8648, 0.1917)

---

Density functional theory data (GGA-PBE) for crystalline TaTlSe2 at its relaxed geometry.

a = 4.0568 Å, b = 4.0568 Å, c = 5.6364 Å
α = 90.00°, β = 90.00°, γ = 90.00°
Atoms (fractional coordinates):
Ta (0.0000, 0.0000, 0.0000)
Tl (0.5000, 0.5000, 0.5000)
Se (0.0000, 0.0000, 0.5000)
Se (0.5000, 0.5000, 0.0000)

---

Density functional theory data (GGA-PBE) for crystalline Ta2TlSe at its relaxed geometry.

Calculated values
Offset from the most stable computed form in eV/atom: 0.4826

a = 6.6921 Å, b = 6.6921 Å, c = 6.6921 Å
α = 90.00°, β = 90.00°, γ = 90.00°
Atoms (fractional coordinates):
Ta (0.2500, 0.2500, 0.2500)
Ta (0.2500, 0.2500, 0.7500)
Ta (0.2500, 0.7500, 0.2500)
Ta (0.2500, 0.7500, 0.7500)
Ta (0.7500, 0.2500, 0.2500)
Ta (0.7500, 0.2500, 0.7500)
Ta (0.7500, 0.7500, 0.2500)
Ta (0.7500, 0.7500, 0.7500)
Tl (0.0000, 0.0000, 0.0000)
Tl (0.0000, 0.5000, 0.5000)
Tl (0.5000, 0.0000, 0.5000)
Tl (0.5000, 0.5000, 0.0000)
Se (0.0000, 0.0000, 0.5000)
Se (0.0000, 0.5000, 0.0000)
Se (0.5000, 0.0000, 0.0000)
Se (0.5000, 0.5000, 0.5000)

---

Density functional theory data (GGA-PBE) for crystalline Ta2TlSe4 at its relaxed geometry.

Calculated values
Offset from the most stable computed form in eV/atom: 0.0000

a = 16.9093 Å, b = 3.5294 Å, c = 6.2863 Å
α = 90.00°, β = 106.67°, γ = 90.00°
Atoms (fractional coordinates):
Ta (0.2475, 0.0000, 0.1963)
Ta (0.2525, 0.5000, 0.8037)
Ta (0.7475, 0.5000, 0.1963)
Ta (0.7525, 0.0000, 0.8037)
Tl (0.0000, 0.5000, 0.5000)
Tl (0.5000, 0.0000, 0.5000)
Se (0.1369, 0.5000, 0.0023)
Se (0.1655, 0.0000, 0.5143)
Se (0.3345, 0.5000, 0.4857)
Se (0.3631, 0.0000, 0.9977)
Se (0.6369, 0.0000, 0.0023)
Se (0.6655, 0.5000, 0.5143)
Se (0.8345, 0.0000, 0.4857)
Se (0.8631, 0.5000, 0.9977)

---

Density functional theory data (GGA-PBE) for crystalline Ta2TlSe at its relaxed geometry.

Calculated values
Offset from the most stable computed form in eV/atom: 0.7396

a = 6.8445 Å, b = 6.8445 Å, c = 6.8445 Å
α = 90.00°, β = 90.00°, γ = 90.00°
Atoms (fractional coordinates):
Ta (0.0000, 0.0000, 0.0000)
Ta (0.0000, 0.5000, 0.5000)
Ta (0.2500, 0.2500, 0.2500)
Ta (0.2500, 0.7500, 0.7500)
Ta (0.5000, 0.0000, 0.5000)
Ta (0.5000, 0.5000, 0.0000)
Ta (0.7500, 0.2500, 0.7500)
Ta (0.7500, 0.7500, 0.2500)
Tl (0.0000, 0.0000, 0.5000)
Tl (0.0000, 0.5000, 0.0000)
Tl (0.5000, 0.0000, 0.0000)
Tl (0.5000, 0.5000, 0.5000)
Se (0.2500, 0.2500, 0.7500)
Se (0.2500, 0.7500, 0.2500)
Se (0.7500, 0.2500, 0.2500)
Se (0.7500, 0.7500, 0.7500)

---

Density functional theory data (GGA-PBE) for crystalline Ta2TlSe at its relaxed geometry.

Calculated values
Offset from the most stable computed form in eV/atom: 0.3504

a = 3.0812 Å, b = 5.5314 Å, c = 9.3986 Å
α = 90.00°, β = 90.00°, γ = 90.00°
Atoms (fractional coordinates):
Ta (0.0000, 0.0000, 0.2224)
Ta (0.0000, 0.0000, 0.7776)
Ta (0.5000, 0.5000, 0.2776)
Ta (0.5000, 0.5000, 0.7224)
Tl (0.0000, 0.5000, 0.0000)
Tl (0.5000, 0.0000, 0.5000)
Se (0.0000, 0.5000, 0.5000)
Se (0.5000, 0.0000, 0.0000)

---

Density functional theory data (GGA-PBE) for crystalline TaTl2Se2 at its relaxed geometry.

Calculated values
Offset from the most stable computed form in eV/atom: 0.0221

a = 7.7519 Å, b = 7.7519 Å, c = 4.0625 Å
α = 90.00°, β = 90.00°, γ = 90.00°
Atoms (fractional coordinates):
Ta (0.0000, 0.0000, 0.0000)
Ta (0.5000, 0.5000, 0.0000)
Tl (0.1384, 0.3616, 0.0000)
Tl (0.3616, 0.8616, 0.0000)
Tl (0.6384, 0.1384, 0.0000)
Tl (0.8616, 0.6384, 0.0000)
Se (0.1782, 0.6782, 0.5000)
Se (0.3218, 0.1782, 0.5000)
Se (0.6782, 0.8218, 0.5000)
Se (0.8218, 0.3218, 0.5000)

---

Density functional theory data (GGA-PBE) for crystalline Ta2TlSe at its relaxed geometry.

Calculated values
Offset from the most stable computed form in eV/atom: 0.2433

a = 3.1487 Å, b = 3.1487 Å, c = 26.8319 Å
α = 90.00°, β = 90.00°, γ = 120.00°
Atoms (fractional coordinates):
Ta (0.0000, 0.0000, 0.2412)
Ta (0.0000, 0.0000, 0.7588)
Ta (0.3333, 0.6667, 0.4254)
Ta (0.3333, 0.6667, 0.9079)
Ta (0.6667, 0.3333, 0.0921)
Ta (0.6667, 0.3333, 0.5746)
Tl (0.0000, 0.0000, 0.0000)
Tl (0.3333, 0.6667, 0.6667)
Tl (0.6667, 0.3333, 0.3333)
Se (0.0000, 0.0000, 0.5000)
Se (0.3333, 0.6667, 0.1667)
Se (0.6667, 0.3333, 0.8333)

---

Density functional theory data (GGA-PBE) for crystalline TaTlSe2 at its relaxed geometry.

a = 6.9592 Å, b = 6.9592 Å, c = 6.9592 Å
α = 90.00°, β = 90.00°, γ = 90.00°
Atoms (fractional coordinates):
Ta (0.0000, 0.0000, 0.0000)
Ta (0.0000, 0.5000, 0.5000)
Ta (0.5000, 0.0000, 0.5000)
Ta (0.5000, 0.5000, 0.0000)
Tl (0.0000, 0.0000, 0.5000)
Tl (0.0000, 0.5000, 0.0000)
Tl (0.5000, 0.0000, 0.0000)
Tl (0.5000, 0.5000, 0.5000)
Se (0.2500, 0.2500, 0.2500)
Se (0.2500, 0.2500, 0.7500)
Se (0.2500, 0.7500, 0.2500)
Se (0.2500, 0.7500, 0.7500)
Se (0.7500, 0.2500, 0.2500)
Se (0.7500, 0.2500, 0.7500)
Se (0.7500, 0.7500, 0.2500)
Se (0.7500, 0.7500, 0.7500)

---

Density functional theory data (GGA-PBE) for crystalline TaTlSe2 at its relaxed geometry.

a = 3.3559 Å, b = 3.3559 Å, c = 28.3709 Å
α = 90.00°, β = 90.00°, γ = 120.00°
Atoms (fractional coordinates):
Ta (0.0000, 0.0000, 0.0000)
Ta (0.3333, 0.6667, 0.6667)
Ta (0.6667, 0.3333, 0.3333)
Tl (0.0000, 0.0000, 0.2486)
Tl (0.3333, 0.6667, 0.9152)
Tl (0.6667, 0.3333, 0.5819)
Se (0.0000, 0.0000, 0.5007)
Se (0.0000, 0.0000, 0.7251)
Se (0.3333, 0.6667, 0.1674)
Se (0.3333, 0.6667, 0.3918)
Se (0.6667, 0.3333, 0.0584)
Se (0.6667, 0.3333, 0.8340)

---

Density functional theory data (GGA-PBE) for crystalline Ta3TlSe6 at its relaxed geometry.

a = 12.9007 Å, b = 3.4815 Å, c = 13.8039 Å
α = 90.00°, β = 93.68°, γ = 90.00°
Atoms (fractional coordinates):
Ta (0.0424, 0.2500, 0.4161)
Ta (0.1307, 0.7500, 0.2267)
Ta (0.4515, 0.2500, 0.0677)
Ta (0.5485, 0.7500, 0.9323)
Ta (0.8693, 0.2500, 0.7733)
Ta (0.9576, 0.7500, 0.5839)
Tl (0.1848, 0.7500, 0.9287)
Tl (0.8152, 0.2500, 0.0713)
Se (0.0460, 0.2500, 0.7115)
Se (0.0767, 0.2500, 0.0943)
Se (0.1441, 0.7500, 0.5267)
Se (0.2293, 0.2500, 0.3352)
Se (0.3216, 0.7500, 0.1288)
Se (0.4045, 0.2500, 0.8798)
Se (0.5955, 0.7500, 0.1202)
Se (0.6784, 0.2500, 0.8712)
Se (0.7707, 0.7500, 0.6648)
Se (0.8559, 0.2500, 0.4733)
Se (0.9233, 0.7500, 0.9057)
Se (0.9540, 0.7500, 0.2885)

---

Density functional theory data (GGA-PBE) for crystalline Ta2TlSe at its relaxed geometry.

Calculated values
Offset from the most stable computed form in eV/atom: 0.6344

a = 4.1318 Å, b = 4.1318 Å, c = 9.1720 Å
α = 90.00°, β = 90.00°, γ = 90.00°
Atoms (fractional coordinates):
Ta (0.0000, 0.0000, 0.0000)
Ta (0.0000, 0.5000, 0.2500)
Ta (0.5000, 0.0000, 0.7500)
Ta (0.5000, 0.5000, 0.5000)
Tl (0.0000, 0.5000, 0.7500)
Tl (0.5000, 0.0000, 0.2500)
Se (0.0000, 0.0000, 0.5000)
Se (0.5000, 0.5000, 0.0000)

---

Density functional theory data (GGA-PBE) for crystalline TaTlSe2 at its relaxed geometry.

a = 3.5411 Å, b = 4.0807 Å, c = 8.2351 Å
α = 90.00°, β = 102.31°, γ = 90.00°
Atoms (fractional coordinates):
Ta (0.0000, 0.0000, 0.0000)
Tl (0.7650, 0.5000, 0.5356)
Se (0.0852, 0.5000, 0.1716)
Se (0.3891, 0.0000, 0.7762)

---

Density functional theory data (GGA-PBE) for crystalline TaTlSe2 at its relaxed geometry.

a = 8.3810 Å, b = 4.0154 Å, c = 14.1051 Å
α = 90.00°, β = 90.00°, γ = 90.00°
Atoms (fractional coordinates):
Ta (0.0297, 0.2500, 0.0722)
Ta (0.4703, 0.7500, 0.5722)
Ta (0.5297, 0.2500, 0.4278)
Ta (0.9703, 0.7500, 0.9278)
Tl (0.1150, 0.7500, 0.3478)
Tl (0.3850, 0.2500, 0.8478)
Tl (0.6150, 0.7500, 0.1522)
Tl (0.8850, 0.2500, 0.6522)
Se (0.1154, 0.7500, 0.7765)
Se (0.2120, 0.7500, 0.0427)
Se (0.2880, 0.2500, 0.5427)
Se (0.3846, 0.2500, 0.2765)
Se (0.6154, 0.7500, 0.7235)
Se (0.7120, 0.7500, 0.4573)
Se (0.7880, 0.2500, 0.9573)
Se (0.8846, 0.2500, 0.2235)

---

Density functional theory data (GGA-PBE) for crystalline TaTlSe2 at its relaxed geometry.

a = 3.5009 Å, b = 3.5009 Å, c = 8.8684 Å
α = 90.00°, β = 90.00°, γ = 90.00°
Atoms (fractional coordinates):
Ta (0.0000, 0.0000, 0.0000)
Tl (0.5000, 0.5000, 0.5147)
Se (0.0000, 0.0000, 0.7333)
Se (0.5000, 0.5000, 0.1082)

---

no.,volume (Å³/f.u.),formation energy from raw total energies (meV per atom),E_tot (eV for the cell shown)
1,118.5,-416,-91.40
2,109.4,-177,-21.90
3,85.1,589,-108.80
4,103.9,-204,-22.01
5,89.2,-459,-23.02
6,113.5,-319,-89.85
7,92.8,228,-20.28
8,74.9,465,-110.78
9,179.7,-725,-90.17
10,80.2,722,-106.67
11,80.1,333,-56.45
12,122.1,684,-40.27
13,76.8,226,-85.96
14,84.3,195,-81.63
15,92.2,46,-63.01
16,309.4,-702,-131.71
17,78.3,617,-54.18
18,116.3,-222,-22.08
19,118.7,-410,-91.31
20,108.7,-243,-22.16